Here is MgSc2Se at its PBEsol-relaxed geometry from Alexandria. Energies are from SCAN.

Calculated values
* crystal system: trigonal
* raw formation energy: -3.34 eV/f.u.
* offset from the most stable computed form: 0.000 eV/atom
* magnetic moment: 0.235 μB per cell
* space group: No. 166
* raw total energy: -170.603 eV per cell

The structure in POSCAR format:
```
MgSc2Se
1.0
3.588 0.000 0.000
-1.794 3.107 0.000
0.000 0.000 24.041
Mg Sc Se
3 6 3
direct
0.000 0.000 0.000
0.333 0.667 0.667
0.667 0.333 0.333
0.000 0.000 0.234
0.000 0.000 0.766
0.333 0.667 0.433
0.333 0.667 0.901
0.667 0.333 0.099
0.667 0.333 0.567
0.000 0.000 0.500
0.333 0.667 0.167
0.667 0.333 0.833
```

***

Here is MgSc2Se at its PBEsol-relaxed geometry from Alexandria. Energies are from SCAN.

Calculated values
* crystal system: tetragonal
* raw formation energy: -2.09 eV/f.u.
* offset from the most stable computed form: 0.313 eV/atom
* magnetic moment: 0.000 μB per cell
* space group: No. 119
* raw total energy: -111.233 eV per cell

The structure in POSCAR format:
```
MgSc2Se
1.0
4.025 0.000 0.000
0.000 4.025 0.000
0.000 0.000 10.052
Mg Sc Se
2 4 2
direct
0.000 0.000 0.000
0.500 0.500 0.500
0.000 0.000 0.500
0.000 0.500 0.250
0.500 0.000 0.750
0.500 0.500 0.000
0.000 0.500 0.750
0.500 0.000 0.250
```

***

Here is MgSc2Se at its PBEsol-relaxed geometry from Alexandria. Energies are from SCAN.

Calculated values
* crystal system: cubic
* raw formation energy: 0.04 eV/f.u.
* offset from the most stable computed form: 0.846 eV/atom
* magnetic moment: 9.321 μB per cell
* space group: No. 216
* raw total energy: -213.932 eV per cell

The structure in POSCAR format:
```
MgSc2Se
1.0
6.987 0.000 0.000
0.000 6.987 0.000
0.000 0.000 6.987
Mg Sc Se
4 8 4
direct
0.000 0.000 0.000
0.000 0.500 0.500
0.500 0.000 0.500
0.500 0.500 0.000
0.000 0.000 0.500
0.000 0.500 0.000
0.250 0.250 0.750
0.250 0.750 0.250
0.500 0.000 0.000
0.500 0.500 0.500
0.750 0.250 0.250
0.750 0.750 0.750
0.250 0.250 0.250
0.250 0.750 0.750
0.750 0.250 0.750
0.750 0.750 0.250
```

***

Here is MgScSe2 at its PBEsol-relaxed geometry from Alexandria. Energies are from SCAN.

Calculated values
* crystal system: trigonal
* raw formation energy: -6.12 eV/f.u.
* magnetic moment: 0.046 μB per cell
* space group: No. 166
* raw total energy: -196.465 eV per cell

The structure in POSCAR format:
```
MgScSe2
1.0
3.765 0.000 0.000
-1.882 3.260 0.000
0.000 0.000 19.563
Mg Sc Se
3 3 6
direct
0.000 0.000 0.000
0.333 0.667 0.667
0.667 0.333 0.333
0.000 0.000 0.500
0.333 0.667 0.167
0.667 0.333 0.833
0.000 0.000 0.251
0.000 0.000 0.749
0.333 0.667 0.415
0.333 0.667 0.918
0.667 0.333 0.082
0.667 0.333 0.585
```

***

Here is MgSc2Se at its PBEsol-relaxed geometry from Alexandria. Energies are from SCAN.

Calculated values
* crystal system: tetragonal
* raw formation energy: -2.33 eV/f.u.
* offset from the most stable computed form: 0.253 eV/atom
* magnetic moment: 0.000 μB per cell
* space group: No. 99
* raw total energy: -55.857 eV per cell

The structure in POSCAR format:
```
MgSc2Se
1.0
3.712 0.000 0.000
0.000 3.712 0.000
0.000 0.000 6.049
Mg Sc Se
1 2 1
direct
0.000 0.000 0.000
0.000 0.000 0.507
0.500 0.500 0.240
0.500 0.500 0.701
```

***

Here is MgScSe2 at its PBEsol-relaxed geometry from Alexandria. Energies are from SCAN.

Calculated values
* crystal system: tetragonal
* raw formation energy: -6.15 eV/f.u.
* magnetic moment: 0.001 μB per cell
* space group: No. 123
* raw total energy: -65.513 eV per cell

The structure in POSCAR format:
```
MgScSe2
1.0
3.829 0.000 0.000
0.000 3.829 0.000
0.000 0.000 5.482
Mg Sc Se
1 1 2
direct
0.000 0.000 0.000
0.500 0.500 0.500
0.000 0.000 0.500
0.500 0.500 0.000
```